No. 1
The following is a DFT calculation (GGA-PBE) of a relaxed CdAg4Au2 crystal.

It has space group P2_1/c (No. 14), with a = 5.3776 Å, b = 8.8347 Å, c = 5.7433 Å, α = 90.00°, β = 99.85° and γ = 90.00°. The asymmetric unit holds Cd at (0.0000, 0.0000, 0.0000), Ag at (0.2316, 0.2146, 0.4013), Ag at (0.2330, 0.7152, 0.9025) and Au at (0.4386, 0.0003, 0.7531).

The value obtained for the excess energy over the best structure of this formula in the dataset is 0.00 eV per formula unit. The energy comes out at -2.700 eV per atom. Its formation energy is -0.0039 eV per atom.

---

No. 2
The following is a DFT calculation (GGA-PBE) of a relaxed Tb2Sm2Cu crystal.

It has space group I4/mmm (No. 139), with a = 3.5428 Å, b = 3.5428 Å, c = 22.6700 Å, α = 90.00°, β = 90.00° and γ = 90.00°. The asymmetric unit holds Tb at (0.0000, 0.0000, 0.0748), Sm at (0.0000, 0.0000, 0.3072) and Cu at (0.0000, 0.0000, 0.5000).

The energy comes out at -4.627 eV per atom. Its formation energy is -0.0683 eV per atom.

---

No. 3
The following is a DFT calculation (GGA-PBE) of a relaxed Dy2TmAg2 crystal.

It has space group Cmcm (No. 63), with a = 3.6181 Å, b = 26.7505 Å, c = 5.2044 Å, α = 90.00°, β = 90.00° and γ = 90.00°. The asymmetric unit holds Dy at (0.0000, 0.0473, 0.2500), Dy at (0.0000, 0.2343, 0.2500), Tm at (0.0000, 0.1457, 0.7500), Ag at (0.0000, 0.3581, 0.7500) and Ag at (0.0000, 0.4511, 0.2500).

The value obtained for the excess energy over the best structure of this formula in the dataset is 0.00 eV per formula unit. The energy comes out at -4.116 eV per atom. Its formation energy is -0.2403 eV per atom.

---

No. 4
The following is a DFT calculation (GGA-PBE) of a relaxed CsRb2PPd crystal.

It has space group P4/mmm (No. 123), with a = 6.6240 Å, b = 6.6240 Å, c = 4.6402 Å, α = 90.00°, β = 90.00° and γ = 90.00°. The asymmetric unit holds Cs at (0.0000, 0.0000, 0.0000), Rb at (0.0000, 0.5000, 0.5000), P at (0.5000, 0.5000, 0.0000) and Pd at (0.5000, 0.5000, 0.5000).

The value obtained for the excess energy over the best structure of this formula in the dataset is 0.04 eV per formula unit. The energy comes out at -2.767 eV per atom. Its formation energy is -0.0887 eV per atom.

---

No. 5
The following is a DFT calculation (GGA-PBE) of a relaxed Mn2AuI crystal.

It has space group Fm-3m (No. 225), with a = 6.7692 Å, b = 6.7692 Å, c = 6.7692 Å, α = 90.00°, β = 90.00° and γ = 90.00°. The asymmetric unit holds Mn at (0.2500, 0.2500, 0.2500), Au at (0.0000, 0.0000, 0.0000) and I at (0.0000, 0.0000, 0.5000).

The value obtained for the excess energy over the best structure of this formula in the dataset is 1.13 eV per formula unit. The energy comes out at -5.248 eV per atom. For the formation energy (no corrections), the calculation gives 543 meV/atom.

---

No. 6
The following is a DFT calculation (GGA-PBE) of a relaxed Pr2AgSn8 crystal.

It has space group P4/mmm (No. 123), with a = 4.6892 Å, b = 4.6892 Å, c = 13.7858 Å, α = 90.00°, β = 90.00° and γ = 90.00°. The asymmetric unit holds Pr at (0.0000, 0.0000, 0.1676), Ag at (0.0000, 0.0000, 0.5000), Sn at (0.0000, 0.5000, 0.0000), Sn at (0.0000, 0.5000, 0.3662) and Sn at (0.5000, 0.5000, 0.1940).

The energy comes out at -4.356 eV per atom. Its formation energy is -0.3168 eV per atom.

---

No. 7
The following is a DFT calculation (GGA-PBE) of a relaxed NdDy3In2 crystal.

It has space group Immm (No. 71), with a = 3.4423 Å, b = 5.5999 Å, c = 18.8886 Å, α = 90.00°, β = 90.00° and γ = 90.00°. The asymmetric unit holds Nd at (0.0000, 0.0000, 0.0000), Dy at (0.0000, 0.0000, 0.1906), Dy at (0.0000, 0.5000, 0.0000) and In at (0.0000, 0.0000, 0.3571).

The value obtained for the excess energy over the best structure of this formula in the dataset is 2.60 eV per formula unit. The energy comes out at -3.928 eV per atom. Its formation energy is 0.0804 eV per atom.

---

No. 8
The following is a DFT calculation (GGA-PBE) of a relaxed KRbSrBr4 crystal.

It has space group I4mm (No. 107), with a = 5.9591 Å, b = 5.9591 Å, c = 17.3411 Å, α = 90.00°, β = 90.00° and γ = 90.00°. The asymmetric unit holds K at (0.0000, 0.0000, 0.0000), Rb at (0.0000, 0.0000, 0.2798), Sr at (0.0000, 0.0000, 0.6419), Br at (0.0000, 0.0000, 0.4695), Br at (0.0000, 0.0000, 0.8156) and Br at (0.0000, 0.5000, 0.1386).

The energy comes out at -3.344 eV per atom. For the formation energy (no corrections), the calculation gives -1853 meV/atom.